GaFeCo2N | PBE | optimized geometry

Geometry as CIF:
```
data_GaFeCo2N
_chemical_formula_sum 'Ga1 Fe1 Co2 N1'
_space_group_name_H-M_alt 'P 4/m m m'
_space_group_IT_number 123
_space_group_name_Hall '-P 4 2'
_cell_length_a 3.7453
_cell_length_b 3.7453
_cell_length_c 3.7855
_cell_angle_alpha 90.00
_cell_angle_beta 90.00
_cell_angle_gamma 90.00
loop_
_atom_site_label
_atom_site_type_symbol
_atom_site_fract_x
_atom_site_fract_y
_atom_site_fract_z
_atom_site_occupancy
Ga1 Ga 0.0000 0.0000 0.0000 1
Fe1 Fe 0.5000 0.5000 0.0000 1
Co1 Co 0.0000 0.5000 0.5000 1
N1 N 0.5000 0.5000 0.5000 1
```

Calculated values
D(E_F) ... 1.034 states/eV/atom
ΔE_f (raw) ... -151 meV per atom
E_tot ... -34.8 eV for the cell shown